Here is a relaxed structure of Sc2CoBr from Alexandria. Energies are from PBE.

```
data_Sc2CoBr
_chemical_formula_sum 'Sc6 Co3 Br3'
_space_group_name_H-M_alt 'R -3 m'
_space_group_IT_number 166
_space_group_name_Hall '-R 3 2"'
_cell_length_a 3.6399
_cell_length_b 3.6399
_cell_length_c 21.4466
_cell_angle_alpha 90.00
_cell_angle_beta 90.00
_cell_angle_gamma 120.00
loop_
_atom_site_label
_atom_site_type_symbol
_atom_site_fract_x
_atom_site_fract_y
_atom_site_fract_z
_atom_site_occupancy
Sc1 Sc 0.0000 0.0000 0.2297 1
Co1 Co 0.0000 0.0000 0.5000 1
Br1 Br 0.0000 0.0000 0.0000 1
```

Computed properties:
raw formation energy: -643 meV per atom
distance to the lowest polymorph of the same formula: 0.00 eV/f.u.
mass density: 4.630 Mg/m³



Here is a relaxed structure of ZrZnPt3 from Alexandria. Energies are from PBE.

```
data_ZrZnPt3
_chemical_formula_sum 'Zr1 Zn1 Pt3'
_space_group_name_H-M_alt 'P m -3 m'
_space_group_IT_number 221
_space_group_name_Hall '-P 4 2 3'
_cell_length_a 4.592
_cell_length_b 4.592
_cell_length_c 4.592
_cell_angle_alpha 90.00
_cell_angle_beta 90.00
_cell_angle_gamma 90.00
loop_
_atom_site_label
_atom_site_type_symbol
_atom_site_fract_x
_atom_site_fract_y
_atom_site_fract_z
_atom_site_occupancy
Zr1 Zr 0.000 0.000 0.000 1
Zn1 Zn 0.500 0.500 0.500 1
Pt1 Pt 0.000 0.500 0.500 1
```

Computed properties:
distance to the lowest polymorph of the same formula: 3.58 eV/f.u.
calculated formation energy: 16.43 kJ per mole of atoms
mass density: 12.719 Mg/m³